Record 1
VASP calculation (PBE-GGA) on a geometry-optimized Hf2Ni2N structure.

Output
ΔE to the lowest computed polymorph ... 0.0 meV/atom
Fermi-level density of states ... 6.0 states/eV per cell
E_form (uncorrected) ... 19.3 kJ per mole of atoms
Magnetization ... 0.000 μB/cell

Lattice parameters (Å, degrees): 6.533 6.533 3.394 90.00 90.00 90.00
Atoms (fractional coordinates):
Hf 0.176 0.324 0.000
Hf 0.324 0.824 0.000
Hf 0.676 0.176 0.000
Hf 0.824 0.676 0.000
Ni 0.127 0.627 0.500
Ni 0.373 0.127 0.500
Ni 0.627 0.873 0.500
Ni 0.873 0.373 0.500
N 0.000 0.000 0.500
N 0.500 0.500 0.500

=====

Record 2
VASP calculation (PBE-GGA) on a geometry-optimized Hf8Ni2N3 structure.

Output
Fermi-level density of states ... 7.2 states/eV per cell
E_form (uncorrected) ... -75.1 kJ per mole of atoms
Magnetization ... 0.000 μB/cell

Lattice parameters (Å, degrees): 6.872 6.872 5.781 104.34 104.34 56.17
Atoms (fractional coordinates):
Hf 0.107 0.107 0.429
Hf 0.146 0.641 0.107
Hf 0.359 0.854 0.893
Hf 0.392 0.392 0.605
Hf 0.608 0.608 0.395
Hf 0.641 0.146 0.107
Hf 0.854 0.359 0.893
Hf 0.893 0.893 0.571
Ni 0.242 0.242 0.180
Ni 0.758 0.758 0.820
N 0.265 0.735 0.500
N 0.500 0.500 0.000
N 0.735 0.265 0.500

=====

Record 3
VASP calculation (PBE-GGA) on a geometry-optimized Hf12Ni6N structure.

Output
Fermi-level density of states ... 15.5 states/eV per cell
E_form (uncorrected) ... -21.0 kJ per mole of atoms
Magnetization ... 0.000 μB/cell

Lattice parameters (Å, degrees): 7.177 7.177 7.177 98.12 98.12 98.12
Atoms (fractional coordinates):
Hf 0.017 0.919 0.690
Hf 0.081 0.310 0.983
Hf 0.187 0.567 0.414
Hf 0.310 0.983 0.081
Hf 0.414 0.187 0.567
Hf 0.433 0.586 0.813
Hf 0.567 0.414 0.187
Hf 0.586 0.813 0.433
Hf 0.690 0.017 0.919
Hf 0.813 0.433 0.586
Hf 0.919 0.690 0.017
Hf 0.983 0.081 0.310
Ni 0.124 0.309 0.637
Ni 0.309 0.637 0.124
Ni 0.363 0.876 0.691
Ni 0.637 0.124 0.309
Ni 0.691 0.363 0.876
Ni 0.876 0.691 0.363
N 0.000 0.000 0.000

=====

Record 4
VASP calculation (PBE-GGA) on a geometry-optimized HfNiN structure.

Output
Fermi-level density of states ... 7.7 states/eV per cell
E_form (uncorrected) ... -91.3 kJ per mole of atoms
Magnetization ... 0.000 μB/cell

Lattice parameters (Å, degrees): 6.211 4.358 5.186 90.00 90.00 90.00
Atoms (fractional coordinates):
Hf 0.164 0.250 0.145
Hf 0.336 0.750 0.645
Hf 0.664 0.250 0.355
Hf 0.836 0.750 0.855
Ni 0.041 0.250 0.632
Ni 0.459 0.750 0.132
Ni 0.541 0.250 0.868
Ni 0.959 0.750 0.368
N 0.152 0.750 0.062
N 0.348 0.250 0.562
N 0.652 0.750 0.438
N 0.848 0.250 0.938

=====

- What is the formula in the fourth record?
  HfNiN